Record 1
# PBE Ba2Ga3HgAu12, relaxed
data_Ba2Ga3HgAu12
_chemical_formula_sum 'Ba6 Ga9 Hg3 Au36'
_cell_length_a 8.9335
_cell_length_b 8.9335
_cell_length_c 20.5586
_cell_angle_alpha 90.00
_cell_angle_beta 90.00
_cell_angle_gamma 120.00
_symmetry_space_group_name_H-M 'R -3 m'
_symmetry_Int_Tables_number 166
_symmetry_space_group_name_Hall '-R 3 2"'
loop_
_atom_site_label
_atom_site_fract_x
_atom_site_fract_y
_atom_site_fract_z
Ba1 0.0000 0.0000 0.1133
Ga1 0.0000 0.5000 0.0000
Hg1 0.0000 0.0000 0.5000
Au1 0.0038 0.5019 0.8765
Au2 0.0178 0.5089 0.3538
# total magnetic moment = 0.00 μB per cell
# formation enthalpy at 0 K = -1.63 eV per formula unit
# crystal system = trigonal
# final energy = -3.010 eV per atom

***

Record 2
# PBE SrMoHW2, relaxed
data_SrMoHW2
_chemical_formula_sum 'Sr1 Mo1 H1 W2'
_cell_length_a 4.836
_cell_length_b 4.836
_cell_length_c 4.785
_cell_angle_alpha 90.00
_cell_angle_beta 90.00
_cell_angle_gamma 90.00
_symmetry_space_group_name_H-M 'P 4/m m m'
_symmetry_Int_Tables_number 123
_symmetry_space_group_name_Hall '-P 4 2'
loop_
_atom_site_label
_atom_site_fract_x
_atom_site_fract_y
_atom_site_fract_z
Sr1 0.000 0.000 0.000
Mo1 0.000 0.000 0.500
H1 0.500 0.500 0.500
W1 0.000 0.500 0.000
# total magnetic moment = 0.00 μB per cell
# crystal system = tetragonal
# final energy = -4.187 eV per atom

***

Record 3
# PBE SrTh2Rh9, relaxed
data_SrTh2Rh9
_chemical_formula_sum 'Sr3 Th6 Rh27'
_cell_length_a 5.3559
_cell_length_b 5.3559
_cell_length_c 26.5953
_cell_angle_alpha 90.00
_cell_angle_beta 90.00
_cell_angle_gamma 120.00
_symmetry_space_group_name_H-M 'R -3 m'
_symmetry_Int_Tables_number 166
_symmetry_space_group_name_Hall '-R 3 2"'
loop_
_atom_site_label
_atom_site_fract_x
_atom_site_fract_y
_atom_site_fract_z
Sr1 0.0000 0.0000 0.0000
Th1 0.0000 0.0000 0.1367
Rh1 0.0000 0.0000 0.3328
Rh2 0.0000 0.0000 0.5000
Rh3 0.0015 0.5008 0.9170
# total magnetic moment = 0.00 μB per cell
# formation enthalpy at 0 K = -5.98 eV per formula unit
# crystal system = trigonal
# final energy = -7.389 eV per atom

***

Record 4
# PBE Cu2SnSe4, relaxed
data_Cu2SnSe4
_chemical_formula_sum 'Cu2 Sn1 Se4'
_cell_length_a 5.662
_cell_length_b 5.662
_cell_length_c 5.387
_cell_angle_alpha 90.00
_cell_angle_beta 90.00
_cell_angle_gamma 90.00
_symmetry_space_group_name_H-M 'P -4 2 m'
_symmetry_Int_Tables_number 111
_symmetry_space_group_name_Hall 'P -4 2'
loop_
_atom_site_label
_atom_site_fract_x
_atom_site_fract_y
_atom_site_fract_z
Cu1 0.000 0.500 0.000
Sn1 0.000 0.000 0.500
Se1 0.274 0.274 0.757
# total magnetic moment = 0.00 μB per cell
# crystal system = tetragonal
# raw formation energy = -0.177 eV per atom
# final energy = -3.910 eV per atom
# polymorph energy (0 for the lowest one) = 0.012 eV/atom

***

Record 5
# PBE UTi2Nb, relaxed
data_UTi2Nb
_chemical_formula_sum 'U3 Ti6 Nb3'
_cell_length_a 2.9236
_cell_length_b 2.9236
_cell_length_c 30.2483
_cell_angle_alpha 90.00
_cell_angle_beta 90.00
_cell_angle_gamma 120.00
_symmetry_space_group_name_H-M 'R -3 m'
_symmetry_Int_Tables_number 166
_symmetry_space_group_name_Hall '-R 3 2"'
loop_
_atom_site_label
_atom_site_fract_x
_atom_site_fract_y
_atom_site_fract_z
U1 0.0000 0.0000 0.0000
Ti1 0.0000 0.0000 0.2463
Nb1 0.0000 0.0000 0.5000
# total magnetic moment = 0.00 μB per cell
# formation enthalpy at 0 K = 0.84 eV per formula unit
# crystal system = trigonal
# final energy = -9.078 eV per atom
# polymorph energy (0 for the lowest one) = 0.021 eV/atom

***

Record 6
# PBE Ca3La2CeTe6, relaxed
data_Ca3La2CeTe6
_chemical_formula_sum 'Ca6 La4 Ce2 Te12'
_cell_length_a 19.883
_cell_length_b 4.501
_cell_length_c 9.140
_cell_angle_alpha 90.00
_cell_angle_beta 104.47
_cell_angle_gamma 90.00
_symmetry_space_group_name_H-M 'C 1 2/m 1'
_symmetry_Int_Tables_number 12
_symmetry_space_group_name_Hall '-C 2y'
loop_
_atom_site_label
_atom_site_fract_x
_atom_site_fract_y
_atom_site_fract_z
Ca1 0.000 0.000 0.000
Ca2 0.167 0.500 0.333
La1 0.166 0.500 0.833
Ce1 0.000 0.000 0.500
Te1 0.002 0.500 0.248
Te2 0.165 0.000 0.089
Te3 0.168 0.000 0.577
# total magnetic moment = 2.99 μB per cell
# crystal system = monoclinic
# raw formation energy = -1.544 eV per atom
# final energy = -4.931 eV per atom

***

Record 7
# PBE ScHCl3, relaxed
data_ScHCl3
_chemical_formula_sum 'Sc2 H2 Cl6'
_cell_length_a 3.727
_cell_length_b 8.190
_cell_length_c 9.512
_cell_angle_alpha 90.81
_cell_angle_beta 90.09
_cell_angle_gamma 103.03
_symmetry_space_group_name_H-M 'P -1'
_symmetry_Int_Tables_number 2
_symmetry_space_group_name_Hall '-P 1'
loop_
_atom_site_label
_atom_site_fract_x
_atom_site_fract_y
_atom_site_fract_z
Sc1 0.182 0.361 0.155
H1 0.408 0.814 0.421
Cl1 0.048 0.090 0.221
Cl2 0.262 0.527 0.695
Cl3 0.337 0.676 0.034
# total magnetic moment = 2.00 μB per cell
# crystal system = triclinic
# final energy = -4.227 eV per atom
# polymorph energy (0 for the lowest one) = 0.000 eV/atom

***

Record 8
# PBE NdSm12Er7, relaxed
data_NdSm12Er7
_chemical_formula_sum 'Nd3 Sm36 Er21'
_cell_length_a 15.1196
_cell_length_b 15.1196
_cell_length_c 10.0964
_cell_angle_alpha 90.00
_cell_angle_beta 90.00
_cell_angle_gamma 120.00
_symmetry_space_group_name_H-M 'R -3'
_symmetry_Int_Tables_number 148
_symmetry_space_group_name_Hall '-R 3'
loop_
_atom_site_label
_atom_site_fract_x
_atom_site_fract_y
_atom_site_fract_z
Nd1 0.0000 0.0000 0.0000
Sm1 0.0464 0.8436 0.2509
Sm2 0.0488 0.8019 0.5774
Er1 0.0000 0.0000 0.5000
Er2 0.0655 0.8197 0.9242
# total magnetic moment = 0.00 μB per cell
# formation enthalpy at 0 K = 3.25 eV per formula unit
# crystal system = trigonal
# final energy = -4.504 eV per atom
# polymorph energy (0 for the lowest one) = 0.000 eV/atom

***

- final energy of number 7 (ScHCl3)?
  -4.227 eV per atom